[1]
Entry from Alexandria: an optimized crystal structure of CuIrPt2 (PBEsol).

The calculation puts the total magnetization at 0.000 μB/cell. The volume comes out at 13.9 A^3/atom. As for the formation energy from the elements: -0.20 eV per formula unit. As for the relative energy among the computed polymorphs: 0.0 meV/atom. The density of states at the Fermi level is 3.36 states/eV per cell.

Unit cell a=2.700 b=4.690 c=4.690 alpha=110.04 beta=90.00 gamma=90.00
Fractional coordinates of all 4 atoms:
Cu  0.500  0.000  0.000
Pt  0.000  0.500  0.000
Pt  0.000  0.000  0.500
Ir  0.500  0.500  0.500

[2]
Entry from Alexandria: an optimized crystal structure of Si2PAu (PBEsol).

The calculation puts the total magnetization at 0.000 μB/cell. For the uncorrected formation energy, the calculation gives 0.391 eV/f.u. The volume comes out at 16.3 A^3/atom. The density of states at the Fermi level is 1.60 states/eV per cell.

Unit cell a=2.601 b=3.430 c=7.300 alpha=90.00 beta=90.09 gamma=90.00
Fractional coordinates of all 4 atoms:
Au  0.500  0.500  0.000
Si  0.501  0.000  0.736
Si  0.499  0.000  0.264
P  0.500  0.500  0.500